1.
Computed, not measured: a geometry-optimized AcTlPb structure at the PBE level of DFT.

Cell: 5.008 5.008 4.792 Å, 90.00 90.00 120.00°
Element x y z (fractional)
Ac: 0.000 0.000 0.000
Tl: 0.333 0.667 0.640
Pb: 0.667 0.333 0.394

Computed properties:
Distance to the lowest polymorph of the same formula   0 meV per atom
SG   P3m1, No. 156
Final energy   -3.7771 eV/atom

2.
Computed, not measured: a geometry-optimized Ac8Tl3Pb2 structure at the PBE level of DFT.

Cell: 9.973 9.973 5.709 Å, 90.00 90.00 110.03°
Element x y z (fractional)
Ac: 0.120 0.880 0.000
Ac: 0.126 0.373 0.500
Ac: 0.371 0.629 0.000
Ac: 0.373 0.126 0.500
Ac: 0.627 0.874 0.500
Ac: 0.629 0.371 0.000
Ac: 0.874 0.627 0.500
Ac: 0.880 0.120 0.000
Tl: 0.250 0.250 0.000
Tl: 0.500 0.500 0.500
Tl: 0.750 0.750 0.000
Pb: 0.243 0.757 0.500
Pb: 0.757 0.243 0.500

Computed properties:
SG   Cmmm, No. 65
Final energy   -3.8827 eV/atom

3.
Computed, not measured: a geometry-optimized Ac10Tl3Pb3 structure at the PBE level of DFT.

Cell: 9.877 9.877 7.513 Å, 90.00 90.00 120.00°
Element x y z (fractional)
Ac: 0.000 0.240 0.000
Ac: 0.000 0.757 0.500
Ac: 0.240 0.000 0.000
Ac: 0.243 0.243 0.500
Ac: 0.333 0.667 0.249
Ac: 0.333 0.667 0.751
Ac: 0.667 0.333 0.249
Ac: 0.667 0.333 0.751
Ac: 0.757 0.000 0.500
Ac: 0.760 0.760 0.000
Tl: 0.000 0.599 0.000
Tl: 0.401 0.401 0.000
Tl: 0.599 0.000 0.000
Pb: 0.000 0.396 0.500
Pb: 0.396 0.000 0.500
Pb: 0.604 0.604 0.500

Computed properties:
SG   P-62m, No. 189
Final energy   -4.0834 eV/atom

4.
Computed, not measured: a geometry-optimized Ac8Tl3Pb4 structure at the PBE level of DFT.

Cell: 9.704 9.704 8.266 Å, 115.09 115.09 89.90°
Element x y z (fractional)
Ac: 0.246 0.246 0.996
Ac: 0.247 0.753 0.000
Ac: 0.248 0.752 0.500
Ac: 0.250 0.250 0.507
Ac: 0.750 0.750 0.493
Ac: 0.752 0.248 0.500
Ac: 0.753 0.247 0.000
Ac: 0.754 0.754 0.004
Tl: 0.000 0.500 0.000
Tl: 0.500 0.000 0.000
Tl: 0.500 0.500 0.500
Pb: 0.000 0.000 0.500
Pb: 0.000 0.500 0.500
Pb: 0.500 0.000 0.500
Pb: 0.500 0.500 0.000

Computed properties:
SG   C2/m, No. 12
Final energy   -3.9249 eV/atom

5.
Computed, not measured: a geometry-optimized Ac5TlPb2 structure at the PBE level of DFT.

Cell: 10.041 10.041 10.041 Å, 127.21 127.21 77.91°
Element x y z (fractional)
Ac: 0.000 0.000 0.000
Ac: 0.017 0.517 0.832
Ac: 0.185 0.017 0.500
Ac: 0.315 0.815 0.832
Ac: 0.483 0.315 0.500
Ac: 0.500 0.500 0.000
Ac: 0.517 0.685 0.500
Ac: 0.685 0.185 0.168
Ac: 0.815 0.983 0.500
Ac: 0.983 0.483 0.168
Tl: 0.250 0.250 0.000
Tl: 0.750 0.750 0.000
Pb: 0.134 0.366 0.500
Pb: 0.366 0.866 0.232
Pb: 0.634 0.134 0.768
Pb: 0.866 0.634 0.500

Computed properties:
Distance to the lowest polymorph of the same formula   0 meV per atom
SG   I4/mcm, No. 140
Final energy   -4.1792 eV/atom

6.
Computed, not measured: a geometry-optimized Ac6Tl5Pb structure at the PBE level of DFT.

Cell: 10.130 10.130 5.850 Å, 106.74 106.74 119.90°
Element x y z (fractional)
Ac: 0.083 0.415 0.749
Ac: 0.248 0.248 0.249
Ac: 0.415 0.083 0.749
Ac: 0.585 0.917 0.251
Ac: 0.752 0.752 0.751
Ac: 0.917 0.585 0.251
Tl: 0.171 0.829 0.000
Tl: 0.334 0.666 0.500
Tl: 0.500 0.500 0.000
Tl: 0.666 0.334 0.500
Tl: 0.829 0.171 0.000
Pb: 0.000 0.000 0.500

Computed properties:
SG   C2/m, No. 12
Final energy   -3.7295 eV/atom

7.
Computed, not measured: a geometry-optimized AcTl15Pb4 structure at the PBE level of DFT.

Cell: 5.130 5.130 23.544 Å, 90.00 90.00 90.00°
Element x y z (fractional)
Ac: 0.000 0.000 0.000
Tl: 0.000 0.500 0.103
Tl: 0.000 0.500 0.301
Tl: 0.000 0.500 0.500
Tl: 0.000 0.500 0.699
Tl: 0.000 0.500 0.897
Tl: 0.500 0.000 0.103
Tl: 0.500 0.000 0.301
Tl: 0.500 0.000 0.500
Tl: 0.500 0.000 0.699
Tl: 0.500 0.000 0.897
Tl: 0.500 0.500 0.000
Tl: 0.500 0.500 0.203
Tl: 0.500 0.500 0.399
Tl: 0.500 0.500 0.601
Tl: 0.500 0.500 0.797
Pb: 0.000 0.000 0.191
Pb: 0.000 0.000 0.399
Pb: 0.000 0.000 0.601
Pb: 0.000 0.000 0.809

Computed properties:
SG   P4/mmm, No. 123
Final energy   -2.7698 eV/atom

8.
Computed, not measured: a geometry-optimized Ac7TlPb4 structure at the PBE level of DFT.

Cell: 9.573 9.573 9.572 Å, 117.90 117.90 37.84°
Element x y z (fractional)
Ac: 0.000 0.000 0.000
Ac: 0.211 0.211 0.828
Ac: 0.339 0.339 0.609
Ac: 0.432 0.432 0.272
Ac: 0.568 0.568 0.728
Ac: 0.661 0.661 0.391
Ac: 0.789 0.789 0.172
Tl: 0.500 0.500 0.000
Pb: 0.056 0.056 0.411
Pb: 0.218 0.218 0.203
Pb: 0.782 0.782 0.797
Pb: 0.944 0.944 0.589

Computed properties:
SG   C2/m, No. 12
Final energy   -4.1461 eV/atom

9.
Computed, not measured: a geometry-optimized Ac5TlPb2 structure at the PBE level of DFT.

Cell: 6.853 6.853 18.283 Å, 90.00 90.00 132.26°
Element x y z (fractional)
Ac: 0.092 0.908 0.585
Ac: 0.092 0.908 0.915
Ac: 0.316 0.684 0.250
Ac: 0.395 0.605 0.619
Ac: 0.395 0.605 0.881
Ac: 0.605 0.395 0.119
Ac: 0.605 0.395 0.381
Ac: 0.684 0.316 0.750
Ac: 0.908 0.092 0.085
Ac: 0.908 0.092 0.415
Tl: 0.030 0.970 0.250
Tl: 0.970 0.030 0.750
Pb: 0.253 0.747 0.069
Pb: 0.253 0.747 0.431
Pb: 0.747 0.253 0.569
Pb: 0.747 0.253 0.931

Computed properties:
Distance to the lowest polymorph of the same formula   133 meV per atom
SG   Cmcm, No. 63
Final energy   -4.0465 eV/atom

10.
Computed, not measured: a geometry-optimized Ac6Tl5Pb structure at the PBE level of DFT.

Cell: 9.255 9.255 8.312 Å, 90.02 90.02 143.27°
Element x y z (fractional)
Ac: 0.000 0.000 0.249
Ac: 0.000 0.000 0.751
Ac: 0.334 0.666 0.252
Ac: 0.334 0.666 0.748
Ac: 0.666 0.334 0.252
Ac: 0.666 0.334 0.748
Tl: 0.166 0.834 0.500
Tl: 0.171 0.829 0.000
Tl: 0.500 0.500 0.500
Tl: 0.829 0.171 0.000
Tl: 0.834 0.166 0.500
Pb: 0.500 0.500 0.000

Computed properties:
SG   C2/m, No. 12
Final energy   -3.7288 eV/atom

11.
Computed, not measured: a geometry-optimized Ac2Tl2Pb3 structure at the PBE level of DFT.

Cell: 11.751 4.785 10.083 Å, 90.00 119.40 90.00°
Element x y z (fractional)
Ac: 0.202 0.000 0.272
Ac: 0.298 0.500 0.728
Ac: 0.702 0.500 0.272
Ac: 0.798 0.000 0.728
Tl: 0.151 0.000 0.875
Tl: 0.349 0.500 0.125
Tl: 0.651 0.500 0.875
Tl: 0.849 0.000 0.125
Pb: 0.000 0.500 0.000
Pb: 0.028 0.500 0.360
Pb: 0.472 0.000 0.640
Pb: 0.500 0.000 0.000
Pb: 0.528 0.000 0.360
Pb: 0.972 0.500 0.640

Computed properties:
Distance to the lowest polymorph of the same formula   70 meV per atom
SG   C2/m, No. 12
Final energy   -3.6978 eV/atom

12.
Computed, not measured: a geometry-optimized AcTlPb2 structure at the PBE level of DFT.

Cell: 4.998 4.998 5.148 Å, 90.00 90.00 90.00°
Element x y z (fractional)
Ac: 0.000 0.000 0.000
Tl: 0.500 0.500 0.000
Pb: 0.000 0.500 0.500
Pb: 0.500 0.000 0.500

Computed properties:
Distance to the lowest polymorph of the same formula   0 meV per atom
SG   P4/mmm, No. 123
Final energy   -3.8647 eV/atom

The calculation returns the following formation energy from the elements values, one per record and in order: -383 -238 -377 -272 -389 -380 -48 -316 -256 -380 -259 -392 meV/atom.